Computed, not measured: a relaxed structure of Ba4HRh at the PBE level of DFT. Values from VASP.

Quantum ESPRESSO input file:
```
&SYSTEM
  ibrav = 0, nat = 12, ntyp = 3
/
ATOMIC_SPECIES
Rh 102.91 Rh.upf
Ba 137.33 Ba.upf
H 1.01 H.upf
ATOMIC_POSITIONS angstrom
Rh 0.050 -0.248 5.880
Ba 2.362 6.415 5.757
Rh 3.269 4.738 0.873
H 1.713 1.997 9.257
Ba 2.635 0.381 4.284
Ba 3.076 7.552 1.918
Ba 5.108 4.110 3.292
Ba 4.277 2.566 7.748
Ba 1.531 4.871 10.214
Ba 3.562 1.429 11.587
Ba 4.003 8.600 9.221
H 4.926 6.983 4.248
CELL_PARAMETERS angstrom
4.423 0.000 0.823
2.116 9.477 0.922
0.100 -0.496 11.760
```

M_tot	0.00	μB/cell
E_tot	-3.297	eV per atom
excess energy over the best structure of this formula in the dataset	0	meV per atom


Computed, not measured: a relaxed structure of TiTlPb at the PBE level of DFT. Values from VASP.

Quantum ESPRESSO input file:
```
&SYSTEM
  ibrav = 0, nat = 18, ntyp = 3
/
ATOMIC_SPECIES
Ti 47.87 Ti.upf
Pb 207.20 Pb.upf
Tl 204.38 Tl.upf
ATOMIC_POSITIONS angstrom
Ti 1.679 8.654 8.275
Ti 1.679 0.705 5.966
Pb 0.000 1.490 3.560
Tl 1.679 5.447 12.493
Tl 1.679 5.447 8.867
Pb 0.000 2.190 13.398
Pb 0.000 7.168 0.842
Ti 1.679 8.654 13.086
Tl 1.679 8.058 3.560
Pb 0.000 7.868 10.680
Pb 0.000 7.168 6.278
Ti 1.679 0.705 1.154
Tl 1.679 3.911 1.747
Tl 1.679 1.300 10.680
Tl 1.679 3.911 5.373
Pb 0.000 2.190 7.962
Ti 0.000 3.692 10.680
Ti 0.000 5.666 3.560
CELL_PARAMETERS angstrom
3.358 0.000 0.000
0.000 9.358 0.000
0.000 0.000 14.240
```

M_tot	6.22	μB/cell
E_tot	-4.438	eV per atom
formation energy from the elements	0.655	eV/f.u.


Computed, not measured: a relaxed structure of Tb3Th at the PBE level of DFT. Values from VASP.

Quantum ESPRESSO input file:
```
&SYSTEM
  ibrav = 0, nat = 4, ntyp = 2
/
ATOMIC_SPECIES
Tb 158.93 Tb.upf
Th 232.04 Th.upf
ATOMIC_POSITIONS angstrom
Tb 3.924 2.302 9.688
Tb 1.318 0.773 3.167
Tb 2.621 1.537 6.427
Th 0.000 0.000 0.000
CELL_PARAMETERS angstrom
3.534 0.000 0.549
1.724 3.085 0.549
-0.017 -0.010 11.757
```

M_tot	0.00	μB/cell
E_tot	-5.306	eV per atom
formation energy from the elements	0.088	eV/f.u.
excess energy over the best structure of this formula in the dataset	0	meV per atom


Computed, not measured: a relaxed structure of PrCuAg2Se4 at the PBE level of DFT. Values from VASP.

Quantum ESPRESSO input file:
```
&SYSTEM
  ibrav = 0, nat = 16, ntyp = 4
/
ATOMIC_SPECIES
Ag 107.87 Ag.upf
Se 78.96 Se.upf
Pr 140.91 Pr.upf
Cu 63.55 Cu.upf
ATOMIC_POSITIONS angstrom
Ag 4.830 10.122 7.173
Se 1.697 6.137 1.305
Ag 0.176 5.306 3.500
Se 1.729 0.386 4.093
Se 1.125 7.260 4.925
Ag -1.134 0.568 2.493
Pr 2.952 8.843 3.132
Cu 1.569 2.426 2.736
Se 0.000 0.000 0.000
Se 4.425 7.529 7.394
Pr 0.744 1.847 6.534
Cu 2.127 8.264 6.929
Se 2.571 3.429 4.741
Ag 3.519 5.384 6.165
Se 1.966 10.303 5.572
Se -0.730 3.161 2.271
CELL_PARAMETERS angstrom
-3.751 0.715 1.517
4.053 -2.299 5.538
3.394 12.274 2.610
```

M_tot	0.00	μB/cell
formation energy from raw total energies	-0.564	eV/atom
E_tot	-4.129	eV per atom


Computed, not measured: a relaxed structure of YHo4Sc3S8 at the PBE level of DFT. Values from VASP.

Quantum ESPRESSO input file:
```
&SYSTEM
  ibrav = 0, nat = 16, ntyp = 4
/
ATOMIC_SPECIES
S 32.06 S.upf
Ho 164.93 Ho.upf
Sc 44.96 Sc.upf
Y 88.91 Y.upf
ATOMIC_POSITIONS angstrom
S 1.101 -5.869 -0.031
Ho -0.491 -1.291 -3.566
S -0.680 -3.808 -2.629
S 2.953 -4.261 -2.965
S 1.581 -4.607 3.454
S 1.658 -0.966 -1.976
Sc 1.379 -3.417 -1.003
Ho 0.000 0.000 0.000
S 3.438 -3.027 0.622
S 1.178 -2.227 -5.461
Y 3.771 -0.509 -0.335
Ho -2.392 -2.908 -0.668
Ho -1.900 -1.618 2.898
Sc 1.870 -2.127 2.563
S -0.195 -2.574 0.959
Sc 3.280 -1.800 -3.901
CELL_PARAMETERS angstrom
-0.982 -2.581 -7.132
7.542 -1.018 -0.670
-3.801 -3.235 5.795
```

M_tot	0.00	μB/cell
formation energy from raw total energies	-1.920	eV/atom
E_tot	-6.720	eV per atom


Computed, not measured: a relaxed structure of K2Li2PaS4 at the PBE level of DFT. Values from VASP.

Quantum ESPRESSO input file:
```
&SYSTEM
  ibrav = 0, nat = 9, ntyp = 4
/
ATOMIC_SPECIES
S 32.06 S.upf
K 39.10 K.upf
Pa 231.04 Pa.upf
Li 6.94 Li.upf
ATOMIC_POSITIONS angstrom
S -1.435 -0.492 6.603
K -3.220 1.429 4.381
S -1.108 -0.263 2.490
S -5.719 1.351 -1.557
Pa 0.000 0.000 0.000
K -3.934 -0.571 0.665
Li -7.202 1.061 0.358
S -6.047 1.122 2.556
Li 0.048 -0.203 4.688
CELL_PARAMETERS angstrom
-0.557 4.051 0.181
-7.088 -0.864 -2.477
0.491 -2.328 7.342
```

M_tot	1.00	μB/cell
formation energy from raw total energies	-1.456	eV/atom
E_tot	-5.015	eV per atom


Computed, not measured: a relaxed structure of PIrRhO2 at the PBE level of DFT. Values from VASP.

Quantum ESPRESSO input file:
```
&SYSTEM
  ibrav = 0, nat = 5, ntyp = 4
/
ATOMIC_SPECIES
Ir 192.22 Ir.upf
Rh 102.91 Rh.upf
O 16.00 O.upf
P 30.97 P.upf
ATOMIC_POSITIONS angstrom
Ir 0.000 0.000 0.000
Rh 1.835 1.835 2.787
O 1.835 0.000 0.000
O 0.000 1.835 0.000
P 0.000 0.000 2.787
CELL_PARAMETERS angstrom
3.671 0.000 0.000
0.000 3.671 0.000
0.000 0.000 5.573
```

M_tot	0.80	μB/cell
formation energy from raw total energies	0.038	eV/atom
E_tot	-6.270	eV per atom
excess energy over the best structure of this formula in the dataset	0	meV per atom


Computed, not measured: a relaxed structure of NaLi3H3 at the PBE level of DFT. Values from VASP.

Quantum ESPRESSO input file:
```
&SYSTEM
  ibrav = 0, nat = 14, ntyp = 3
/
ATOMIC_SPECIES
Li 6.94 Li.upf
H 1.01 H.upf
Na 22.99 Na.upf
ATOMIC_POSITIONS angstrom
Li 0.000 2.717 4.075
Li 0.000 2.717 1.358
H 4.075 2.717 0.000
Li 2.717 4.075 0.000
Na 0.000 0.000 0.000
H 0.000 4.075 2.717
Na 2.717 2.717 2.717
H 0.000 1.358 2.717
Li 1.358 0.000 2.717
H 2.717 0.000 4.075
H 1.358 2.717 0.000
Li 2.717 1.358 0.000
H 2.717 0.000 1.358
Li 4.075 0.000 2.717
CELL_PARAMETERS angstrom
5.434 0.000 0.000
0.000 5.434 0.000
0.000 0.000 5.434
```

M_tot	0.00	μB/cell
E_tot	-2.645	eV per atom


Computed, not measured: a relaxed structure of Cd3In4Sn2Hg2 at the PBE level of DFT. Values from VASP.

Quantum ESPRESSO input file:
```
&SYSTEM
  ibrav = 0, nat = 11, ntyp = 4
/
ATOMIC_SPECIES
Sn 118.71 Sn.upf
In 114.82 In.upf
Cd 112.41 Cd.upf
Hg 200.59 Hg.upf
ATOMIC_POSITIONS angstrom
Sn -4.121 -1.139 5.397
In -1.357 -2.315 5.346
Cd -3.366 0.995 10.346
In -5.108 -0.848 8.429
Hg -0.439 -2.587 2.522
Hg -6.027 -0.576 11.253
In -3.886 -1.568 13.117
Cd -1.178 0.348 3.621
In -2.579 -1.595 0.658
Sn -2.344 -2.023 8.378
Cd 0.000 0.000 0.000
CELL_PARAMETERS angstrom
-4.640 -0.627 -1.450
2.720 -3.879 1.258
-4.545 1.343 13.966
```

M_tot	0.00	μB/cell
E_tot	-1.941	eV per atom
formation energy from the elements	0.956	eV/f.u.


Computed, not measured: a relaxed structure of TbSmCuPt at the PBE level of DFT. Values from VASP.

Quantum ESPRESSO input file:
```
&SYSTEM
  ibrav = 0, nat = 4, ntyp = 4
/
ATOMIC_SPECIES
Tb 158.93 Tb.upf
Sm 150.36 Sm.upf
Pt 195.08 Pt.upf
Cu 63.55 Cu.upf
ATOMIC_POSITIONS angstrom
Tb 0.000 0.000 1.466
Sm 1.918 2.233 3.843
Pt 1.918 2.233 0.839
Cu 0.000 0.000 4.516
CELL_PARAMETERS angstrom
3.836 0.000 0.000
0.000 4.466 0.000
-1.918 0.000 5.332
```

M_tot	0.00	μB/cell
E_tot	-5.630	eV per atom
formation energy from the elements	-3.035	eV/f.u.
excess energy over the best structure of this formula in the dataset	0	meV per atom


Computed, not measured: a relaxed structure of TbPrHo2 at the PBE level of DFT. Values from VASP.

Quantum ESPRESSO input file:
```
&SYSTEM
  ibrav = 0, nat = 4, ntyp = 3
/
ATOMIC_SPECIES
Ho 164.93 Ho.upf
Tb 158.93 Tb.upf
Pr 140.91 Pr.upf
ATOMIC_POSITIONS angstrom
Ho -5.000 -0.751 -0.483
Tb -4.099 3.211 2.490
Ho -7.582 3.605 2.846
Pr 0.000 0.000 0.000
CELL_PARAMETERS angstrom
-2.216 -0.701 -2.744
-2.168 -2.866 0.127
-8.198 6.422 4.981
```

M_tot	0.00	μB/cell
E_tot	-4.642	eV per atom
formation energy from the elements	-0.001	eV/f.u.
excess energy over the best structure of this formula in the dataset	0	meV per atom


Computed, not measured: a relaxed structure of TaBeGe3 at the PBE level of DFT. Values from VASP.

Quantum ESPRESSO input file:
```
&SYSTEM
  ibrav = 0, nat = 5, ntyp = 3
/
ATOMIC_SPECIES
Be 9.01 Be.upf
Ge 72.64 Ge.upf
Ta 180.95 Ta.upf
ATOMIC_POSITIONS angstrom
Be 0.000 0.000 0.000
Ge -2.125 -0.417 -0.445
Ge 0.609 -1.393 -1.605
Ta -1.538 -0.145 -3.504
Ge -0.022 1.665 -1.454
CELL_PARAMETERS angstrom
-0.044 3.331 -2.908
1.218 -2.787 -3.210
-4.251 -0.833 -0.889
```

M_tot	1.01	μB/cell
E_tot	-5.021	eV per atom
formation energy from the elements	4.328	eV/f.u.
excess energy over the best structure of this formula in the dataset	0	meV per atom


Computed, not measured: a relaxed structure of Bi2As2O7 at the PBE level of DFT. Values from VASP.

Quantum ESPRESSO input file:
```
&SYSTEM
  ibrav = 0, nat = 11, ntyp = 3
/
ATOMIC_SPECIES
O 16.00 O.upf
As 74.92 As.upf
Bi 208.98 Bi.upf
ATOMIC_POSITIONS angstrom
O 5.797 0.093 3.209
O 2.357 -0.847 1.135
As 5.936 1.359 1.966
O 3.030 1.054 3.208
O 1.879 1.886 0.689
O 5.319 2.826 2.763
Bi 4.304 -1.154 -0.186
O 4.646 0.925 0.690
O -0.156 0.369 2.425
Bi 3.683 2.395 -0.766
As 1.740 0.620 1.932
CELL_PARAMETERS angstrom
-0.312 0.738 4.850
4.726 -3.566 0.208
3.262 4.807 -1.160
```

M_tot	0.00	μB/cell
formation energy from raw total energies	-1.143	eV/atom
E_tot	-5.849	eV per atom
excess energy over the best structure of this formula in the dataset	14	meV per atom


Computed, not measured: a relaxed structure of PaTc2BRh at the PBE level of DFT. Values from VASP.

Quantum ESPRESSO input file:
```
&SYSTEM
  ibrav = 0, nat = 5, ntyp = 4
/
ATOMIC_SPECIES
B 10.81 B.upf
Tc 98.00 Tc.upf
Pa 231.04 Pa.upf
Rh 102.91 Rh.upf
ATOMIC_POSITIONS angstrom
B 0.000 0.000 0.000
Tc 0.000 0.000 2.138
Pa 2.071 2.138 2.138
Rh 2.071 0.000 0.000
Tc 0.000 2.138 0.000
CELL_PARAMETERS angstrom
4.142 0.000 0.000
0.000 4.277 0.000
0.000 0.000 4.277
```

M_tot	0.00	μB/cell
E_tot	-9.381	eV per atom
formation energy from the elements	-2.647	eV/f.u.


Computed, not measured: a relaxed structure of RePbBr6 at the PBE level of DFT. Values from VASP.

Quantum ESPRESSO input file:
```
&SYSTEM
  ibrav = 0, nat = 8, ntyp = 3
/
ATOMIC_SPECIES
Br 79.90 Br.upf
Pb 207.20 Pb.upf
Re 186.21 Re.upf
ATOMIC_POSITIONS angstrom
Br -0.403 4.142 6.322
Pb -3.370 3.594 6.991
Re 0.000 0.000 0.000
Br -6.338 3.047 7.660
Br -3.715 2.612 4.081
Br -2.500 0.795 7.969
Br -3.026 4.577 9.901
Br -4.240 6.393 6.013
CELL_PARAMETERS angstrom
-5.827 2.500 2.688
-1.479 -1.101 6.635
0.566 5.789 4.659
```

M_tot	3.00	μB/cell
formation energy from raw total energies	-0.457	eV/atom
E_tot	-3.731	eV per atom


Computed, not measured: a relaxed structure of Ta2BeCl at the PBE level of DFT. Values from VASP.

Quantum ESPRESSO input file:
```
&SYSTEM
  ibrav = 0, nat = 4, ntyp = 3
/
ATOMIC_SPECIES
Ta 180.95 Ta.upf
Be 9.01 Be.upf
Cl 35.45 Cl.upf
ATOMIC_POSITIONS angstrom
Ta -0.024 -0.096 0.023
Ta -1.588 -6.513 1.582
Be -3.301 -13.537 3.288
Cl -4.721 -19.357 4.702
CELL_PARAMETERS angstrom
-2.342 -9.141 0.439
-0.581 -8.976 2.886
-3.499 -8.219 3.072
```

M_tot	0.00	μB/cell
formation energy from raw total energies	0.143	eV/atom
E_tot	-7.177	eV per atom
excess energy over the best structure of this formula in the dataset	42	meV per atom


Computed, not measured: a relaxed structure of Li3BiSe4O12 at the PBE level of DFT. Values from VASP.

Quantum ESPRESSO input file:
```
&SYSTEM
  ibrav = 0, nat = 20, ntyp = 4
/
ATOMIC_SPECIES
O 16.00 O.upf
Li 6.94 Li.upf
Se 78.96 Se.upf
Bi 208.98 Bi.upf
ATOMIC_POSITIONS angstrom
O -2.558 -4.538 -3.259
O 3.652 -4.503 2.034
O -0.073 -6.574 0.773
O 0.648 -1.233 1.856
Li -3.101 -1.367 2.421
O -1.206 -5.541 3.414
O -3.022 -5.808 0.974
O -1.886 -3.117 2.233
O -1.469 -3.988 -0.444
O 0.696 -3.976 1.402
Se 0.665 -2.911 5.075
Se -0.886 -3.694 1.064
Li -0.980 -3.263 -2.395
O -2.050 -0.991 0.448
O -3.753 -2.041 4.416
Se -5.098 -2.943 0.163
Li 2.308 -2.757 2.102
O 0.384 -2.016 -1.083
Bi 0.000 0.000 0.000
Se 1.774 -5.228 -2.048
CELL_PARAMETERS angstrom
-1.502 -0.560 6.557
-5.322 -2.489 -3.324
5.051 -4.339 -1.106
```

M_tot	0.00	μB/cell
formation energy from raw total energies	-0.801	eV/atom
E_tot	-4.954	eV per atom


Computed, not measured: a relaxed structure of HfAuSe at the PBE level of DFT. Values from VASP.

Quantum ESPRESSO input file:
```
&SYSTEM
  ibrav = 0, nat = 12, ntyp = 3
/
ATOMIC_SPECIES
Hf 178.49 Hf.upf
Se 78.96 Se.upf
Au 196.97 Au.upf
ATOMIC_POSITIONS angstrom
Hf -2.111 2.089 1.913
Se -9.487 14.631 0.498
Au -2.328 0.012 0.101
Au -9.490 17.161 2.322
Se -3.957 5.860 2.016
Se -7.993 11.581 0.415
Hf -11.333 18.402 0.600
Au -3.953 3.330 0.191
Se -5.451 8.910 2.098
Hf -7.707 13.519 2.223
Hf -5.736 6.972 0.290
Au -11.115 20.479 2.412
CELL_PARAMETERS angstrom
-2.887 -1.368 -1.692
0.157 -0.021 3.612
-10.713 21.880 0.593
```

M_tot	0.00	μB/cell
formation energy from raw total energies	-0.662	eV/atom
E_tot	-6.234	eV per atom


Computed, not measured: a relaxed structure of Ac2PmGd at the PBE level of DFT. Values from VASP.

Quantum ESPRESSO input file:
```
&SYSTEM
  ibrav = 0, nat = 4, ntyp = 3
/
ATOMIC_SPECIES
Pm 145.00 Pm.upf
Gd 157.25 Gd.upf
Ac 227.00 Ac.upf
ATOMIC_POSITIONS angstrom
Pm 0.000 0.000 0.000
Gd 3.834 2.214 6.084
Ac 5.752 3.321 9.104
Ac 1.917 1.107 3.063
CELL_PARAMETERS angstrom
3.834 0.000 0.000
1.917 3.321 0.000
1.917 1.107 12.168
```

M_tot	7.19	μB/cell
E_tot	-6.725	eV per atom
formation energy from the elements	0.146	eV/f.u.
excess energy over the best structure of this formula in the dataset	6	meV per atom


Computed, not measured: a relaxed structure of ThNpSbTe at the PBE level of DFT. Values from VASP.

Quantum ESPRESSO input file:
```
&SYSTEM
  ibrav = 0, nat = 4, ntyp = 4
/
ATOMIC_SPECIES
Np 237.00 Np.upf
Te 127.60 Te.upf
Th 232.04 Th.upf
Sb 121.76 Sb.upf
ATOMIC_POSITIONS angstrom
Np 8.107 4.681 3.310
Te 5.405 3.121 2.207
Th 2.702 1.560 1.103
Sb 0.000 0.000 0.000
CELL_PARAMETERS angstrom
5.405 0.000 0.000
2.702 4.681 0.000
2.702 1.560 4.413
```

M_tot	5.22	μB/cell
formation energy from raw total energies	-0.612	eV/atom
E_tot	-7.519	eV per atom